[1]
DFT (PBE) results for an optimized crystal structure of SnSeBr2.

Properties
Fermi-level density of states	2.7	states/eV/f.u.
space group	No. 122
raw formation energy	-134	meV per atom
electronic total energy	-2.842	eV per atom

```
SnSeBr2
1.0
10.488 0.000 0.000
0.000 10.488 0.000
0.000 0.000 5.423
Sn Se Br
4 4 8
direct
0.000 0.000 0.000
0.000 0.500 0.250
0.500 0.000 0.750
0.500 0.500 0.500
0.000 0.000 0.500
0.000 0.500 0.750
0.500 0.000 0.250
0.500 0.500 0.000
0.095 0.250 0.125
0.250 0.595 0.375
0.250 0.905 0.875
0.405 0.250 0.625
0.595 0.750 0.625
0.750 0.095 0.875
0.750 0.405 0.375
0.905 0.750 0.125
```

=====

[2]
DFT (PBE) results for an optimized crystal structure of Sn7SeBr12.

Properties
Fermi-level density of states	0.0	states/eV/f.u.
space group	No. 148
raw formation energy	-720	meV per atom
electronic total energy	-3.299	eV per atom

```
Sn7SeBr12
1.0
7.812 4.510 3.591
-7.812 4.510 3.591
0.000 -9.021 3.591
Sn Se Br
7 1 12
direct
0.000 0.000 0.000
0.155 0.466 0.385
0.385 0.155 0.466
0.466 0.385 0.155
0.534 0.615 0.845
0.615 0.845 0.534
0.845 0.534 0.615
0.500 0.500 0.500
0.040 0.135 0.340
0.135 0.340 0.040
0.182 0.558 0.707
0.293 0.818 0.442
0.340 0.040 0.135
0.442 0.293 0.818
0.558 0.707 0.182
0.660 0.960 0.865
0.707 0.182 0.558
0.818 0.442 0.293
0.865 0.660 0.960
0.960 0.865 0.660
```

=====

[3]
DFT (PBE) results for an optimized crystal structure of Sn3Se2Br2.

Properties
space group	No. 12
raw formation energy	-557	meV per atom
electronic total energy	-3.746	eV per atom

```
Sn3Se2Br2
1.0
16.684 0.000 0.000
0.000 4.202 0.000
-1.637 0.000 6.356
Sn Se Br
6 4 4
direct
0.000 0.000 0.000
0.247 0.500 0.225
0.253 0.000 0.775
0.500 0.500 0.000
0.747 0.000 0.225
0.753 0.500 0.775
0.158 0.000 0.347
0.342 0.500 0.653
0.658 0.500 0.347
0.842 0.000 0.653
0.081 0.500 0.797
0.419 0.000 0.203
0.581 0.000 0.797
0.919 0.500 0.203
```

=====

[4]
DFT (PBE) results for an optimized crystal structure of Sn2Se2Br.

Properties
Fermi-level density of states	1.3	states/eV/f.u.
space group	No. 71
raw formation energy	-468	meV per atom
electronic total energy	-3.797	eV per atom

```
Sn2Se2Br
1.0
4.192 0.000 0.000
0.000 5.704 0.000
0.000 0.000 12.738
Sn Se Br
4 4 2
direct
0.000 0.000 0.184
0.000 0.000 0.816
0.500 0.500 0.316
0.500 0.500 0.684
0.000 0.500 0.164
0.000 0.500 0.836
0.500 0.000 0.336
0.500 0.000 0.664
0.000 0.500 0.500
0.500 0.000 0.000
```